Mn3Tl2F8 | PBE with a Hubbard U | optimized geometry

```
data_Mn3Tl2F8
_chemical_formula_sum 'Mn6 Tl4 F16'
_cell_length_a 13.283
_cell_length_b 6.712
_cell_length_c 5.733
_cell_angle_alpha 90.00
_cell_angle_beta 109.66
_cell_angle_gamma 90.00
_space_group_name_H-M_alt 'C 1 2/m 1'
_space_group_IT_number 12
_space_group_name_Hall '-C 2y'
loop_
_atom_site_label
_atom_site_type_symbol
_atom_site_fract_x
_atom_site_fract_y
_atom_site_fract_z
Mn1 Mn 0.000 0.000 0.000
Mn2 Mn 0.000 0.257 0.500
Tl1 Tl 0.213 0.500 0.167
F1 F 0.085 0.000 0.401
F2 F 0.089 0.221 0.884
F3 F 0.097 0.500 0.463
```

Computed properties:
Final energy, eV per formula unit: -73.43
DOS at the Fermi energy, states/eV/f.u.: 0.00
Magnetic moment, μB/f.u.: 15.00